No. 1
# PBE Zn2NiGe, relaxed
data_Zn2NiGe
_cell_length_a 6.100
_cell_length_b 6.100
_cell_length_c 6.100
_cell_angle_alpha 90.00
_cell_angle_beta 90.00
_cell_angle_gamma 90.00
_space_group_name_H-M_alt 'F -4 3 m'
_space_group_IT_number 216
_space_group_name_Hall 'F -4 2 3'
loop_
_atom_site_label
_atom_site_type_symbol
_atom_site_fract_x
_atom_site_fract_y
_atom_site_fract_z
Zn1 Zn 0.000 0.000 0.000
Zn2 Zn 0.250 0.250 0.250
Ni1 Ni 0.250 0.250 0.750
Ge1 Ge 0.000 0.000 0.500
# Energy ... -12.4 eV per formula unit


No. 2
# PBE AlRe2, relaxed
data_AlRe2
_cell_length_a 9.414
_cell_length_b 9.414
_cell_length_c 5.034
_cell_angle_alpha 90.00
_cell_angle_beta 90.00
_cell_angle_gamma 90.00
_space_group_name_H-M_alt 'P 42/m n m'
_space_group_IT_number 136
_space_group_name_Hall '-P 4n 2n'
loop_
_atom_site_label
_atom_site_type_symbol
_atom_site_fract_x
_atom_site_fract_y
_atom_site_fract_z
Al1 Al 0.000 0.000 0.000
Al2 Al 0.035 0.366 0.500
Re1 Re 0.061 0.256 0.000
Re2 Re 0.097 0.097 0.500
Re3 Re 0.179 0.821 0.253
# Energy ... -28.6 eV per formula unit


No. 3
# PBE Tl3PdF6, relaxed
data_Tl3PdF6
_cell_length_a 6.090
_cell_length_b 6.090
_cell_length_c 9.204
_cell_angle_alpha 90.00
_cell_angle_beta 90.00
_cell_angle_gamma 90.00
_space_group_name_H-M_alt 'I 4/m'
_space_group_IT_number 87
_space_group_name_Hall '-I 4'
loop_
_atom_site_label
_atom_site_type_symbol
_atom_site_fract_x
_atom_site_fract_y
_atom_site_fract_z
Tl1 Tl 0.000 0.000 0.000
Tl2 Tl 0.000 0.500 0.250
Pd1 Pd 0.000 0.000 0.500
F1 F 0.000 0.000 0.260
F2 F 0.154 0.705 0.500
# Energy ... -39.3 eV per formula unit


No. 4
# PBE Er4Tm3Te2Pd2, relaxed
data_Er4Tm3Te2Pd2
_cell_length_a 3.900
_cell_length_b 15.577
_cell_length_c 9.555
_cell_angle_alpha 90.00
_cell_angle_beta 90.00
_cell_angle_gamma 90.00
_space_group_name_H-M_alt 'I m m 2'
_space_group_IT_number 44
loop_
_space_group_symop_operation_xyz
'x,y,z'
'-x,-y,z'
'-x,y,z'
'x,-y,z'
'x+1/2,y+1/2,z+1/2'
'-x+1/2,-y+1/2,z+1/2'
'-x+1/2,y+1/2,z+1/2'
'x+1/2,-y+1/2,z+1/2'
loop_
_atom_site_label
_atom_site_type_symbol
_atom_site_fract_x
_atom_site_fract_y
_atom_site_fract_z
Er1 Er 0.000 0.129 0.000
Er2 Er 0.000 0.357 0.151
Tm1 Tm 0.000 0.000 0.416
Tm2 Tm 0.000 0.317 0.792
Te1 Te 0.000 0.000 0.754
Te2 Te 0.000 0.500 0.653
Pd1 Pd 0.000 0.237 0.487
# Energy ... -57.6 eV per formula unit